This record from Alexandria describes TlVAg2F6 after structural relaxation. The functional is PBE with a Hubbard U.

For the energy, the calculation gives -4.588 eV per atom. As for the space group: C2/m.

abc: 5.6159 5.6159 5.8734
angles: 111.19 111.19 87.89
Closest atoms and distances in Å follow each position.
Fractional positions:
Tl 0.0000 0.0000 0.0000  6 F 2.68-2.86
V 0.5000 0.5000 0.0000  6 F 1.94-1.99
Ag 0.2181 0.7819 0.5000  2 F 2.28
Ag 0.7819 0.2181 0.5000  2 F 2.28
F 0.1397 0.5021 0.7675  1 V 1.99
F 0.3817 0.3817 0.2178  1 V 1.94
F 0.4979 0.8603 0.2325  1 V 1.99
F 0.5021 0.1397 0.7675  1 V 1.99
F 0.6183 0.6183 0.7822  1 V 1.94
F 0.8603 0.4979 0.2325  1 V 1.99